# 1
Here is MgScHgIr after structural relaxation from Alexandria. Energies are from PBE-GGA.

Output
DOS at the Fermi energy: 1.8 states/eV/cell
E: -4.833 eV/atom
Theoretical density: 10.236 g cm⁻³
Symmetry: P4mm, No. 99
Energy above the most stable polymorph in this dataset: 0 meV per atom

Unit cell a=3.188 b=3.188 c=7.374 alpha=90.00 beta=90.00 gamma=90.00
Fractional coordinates of all 4 atoms:
Mg  0.500  0.500  0.790
Sc  0.500  0.500  0.361
Hg  0.000  0.000  0.063
Ir  0.000  0.000  0.571


# 2
Here is Mg2Sc5HgIr2 after structural relaxation from Alexandria. Energies are from PBE-GGA.

Output
DOS at the Fermi energy: 22.8 states/eV/cell
E: -5.794 eV/atom
Theoretical density: 6.480 g cm⁻³
Symmetry: P4/mbm, No. 127

Unit cell a=3.544 b=11.142 c=11.142 alpha=90.00 beta=90.00 gamma=90.00
Fractional coordinates of all 20 atoms:
Mg  0.000  0.674  0.174
Mg  0.000  0.326  0.826
Mg  0.000  0.174  0.326
Mg  0.000  0.826  0.674
Sc  0.500  0.207  0.075
Sc  0.500  0.793  0.925
Sc  0.500  0.075  0.793
Sc  0.500  0.707  0.425
Sc  0.500  0.925  0.207
Sc  0.500  0.293  0.575
Sc  0.500  0.575  0.707
Sc  0.500  0.425  0.293
Sc  0.500  0.500  0.000
Sc  0.500  0.000  0.500
Hg  0.000  0.000  0.000
Hg  0.000  0.500  0.500
Ir  0.000  0.129  0.629
Ir  0.000  0.871  0.371
Ir  0.000  0.629  0.871
Ir  0.000  0.371  0.129


# 3
Here is MgSn2HgIr after structural relaxation from Alexandria. Energies are from PBE-GGA.

Output
DOS at the Fermi energy: 2.5 states/eV/cell
E: -3.848 eV/atom
Theoretical density: 8.096 g cm⁻³
Symmetry: P4/mmm, No. 123

Unit cell a=5.108 b=5.108 c=5.146 alpha=90.00 beta=90.00 gamma=90.00
Fractional coordinates of all 5 atoms:
Mg  0.000  0.000  0.500
Ir  0.000  0.000  0.000
Hg  0.500  0.500  0.500
Sn  0.000  0.500  0.000
Sn  0.500  0.000  0.000